An optimized crystal structure of CaBiCSe2, computed with PBE.

Summary:
ΔE_f (raw): 7.8 eV per formula unit

abc: 5.333 5.333 6.168
angles: 90.00 90.00 90.00
Space group P4/mmm (No. 123)
Asymmetric unit:
Ca1 0.000 0.000 0.000 [1 per cell]
Bi1 0.000 0.000 0.500 [1 per cell]
C1 0.500 0.500 0.500 [1 per cell]
Se1 0.000 0.500 0.000 [2 per cell]



An optimized crystal structure of KPrCl2, computed with PBE.

Summary:
ΔE_f (raw): -5.9 eV per formula unit

abc: 3.8487 3.8487 30.3873
angles: 90.00 90.00 120.00
Space group R-3m (No. 166, hexagonal axes)
Asymmetric unit:
K1 0.0000 0.0000 0.0000 [3 per cell]
Pr1 0.0000 0.0000 0.5000 [3 per cell]
Cl1 0.0000 0.0000 0.1020 [6 per cell]



An optimized crystal structure of NbC2O2, computed with PBE.

Summary:
ΔE_f (raw): 2.7 eV per formula unit
offset from the most stable computed form: 0.000 eV per formula unit

abc: 4.049 4.049 5.601
angles: 90.00 90.00 90.00
Space group I4/mmm (No. 139)
Asymmetric unit:
Nb1 0.000 0.000 0.000 [2 per cell]
C1 0.000 0.000 0.385 [4 per cell]
O1 0.000 0.500 0.250 [4 per cell]



An optimized crystal structure of Ba2Bi2Pd, computed with PBE.

Summary:
offset from the most stable computed form: 0.731 eV per formula unit
calculated formation energy: -0.613 eV per atom

abc: 8.002 8.002 5.397
angles: 90.00 90.00 90.00
Space group P4/mbm (No. 127)
Asymmetric unit:
Ba1 0.169 0.331 0.000 [4 per cell]
Bi1 0.144 0.644 0.500 [4 per cell]
Pd1 0.000 0.000 0.500 [2 per cell]



An optimized crystal structure of La6NiCl5, computed with PBE.

Summary:
ΔE_f (raw): -16.4 eV per formula unit

abc: 6.931 12.057 7.848
angles: 90.00 106.90 90.00
Space group C2/m (No. 12)
Asymmetric unit:
La1 0.240 0.165 0.226 [8 per cell]
La2 0.246 0.500 0.224 [4 per cell]
Ni1 0.000 0.000 0.000 [2 per cell]
Cl1 0.000 0.160 0.500 [4 per cell]
Cl2 0.000 0.333 0.000 [4 per cell]
Cl3 0.000 0.500 0.500 [2 per cell]



An optimized crystal structure of LiCoAg2, computed with PBE.

Summary:
calculated formation energy: 0.145 eV per atom

abc: 5.939 7.199 2.788
angles: 90.00 90.28 90.00
Space group C2/m (No. 12)
Asymmetric unit:
Li1 0.000 0.000 0.000 [2 per cell]
Co1 0.000 0.500 0.000 [2 per cell]
Ag1 0.250 0.250 0.500 [4 per cell]



An optimized crystal structure of NbP4Se3Cl5, computed with PBE.

Summary:
ΔE_f (raw): -7.9 eV per formula unit

abc: 12.963 19.300 14.244
angles: 90.00 90.00 90.00
Space group Pbca (No. 61)
Asymmetric unit:
Nb1 0.163 0.237 0.076 [8 per cell]
P1 0.029 0.106 0.305 [8 per cell]
P2 0.072 0.582 0.320 [8 per cell]
P3 0.091 0.558 0.720 [8 per cell]
P4 0.092 0.112 0.160 [8 per cell]
Se1 0.069 0.034 0.837 [8 per cell]
Se2 0.086 0.002 0.357 [8 per cell]
Se3 0.186 0.016 0.131 [8 per cell]
Cl1 0.025 0.221 0.668 [8 per cell]
Cl2 0.042 0.207 0.960 [8 per cell]
Cl3 0.217 0.160 0.513 [8 per cell]
Cl4 0.218 0.662 0.005 [8 per cell]
Cl5 0.234 0.738 0.211 [8 per cell]



An optimized crystal structure of Sr2NpTl3Te6, computed with PBE.

Summary:
ΔE_f (raw): -10.1 eV per formula unit

abc: 8.092 13.927 8.464
angles: 90.00 108.40 90.00
Space group C2/m (No. 12)
Asymmetric unit:
Sr1 0.000 0.165 0.000 [4 per cell]
Np1 0.000 0.500 0.000 [2 per cell]
Tl1 0.000 0.000 0.500 [2 per cell]
Tl2 0.000 0.331 0.500 [4 per cell]
Te1 0.225 0.348 0.220 [8 per cell]
Te2 0.227 0.500 0.773 [4 per cell]



no.,total moment (μB/f.u.)
1,2.473
2,0.000
3,0.000
4,0.000
5,0.000
6,1.406
7,0.000
8,2.027